VASP calculation (meta-GGA SCAN) on a crystal of CaFeSe2 relaxed with PBEsol.

a = 4.1623 Å, b = 3.7812 Å, c = 11.8140 Å
α = 90.00°, β = 90.00°, γ = 90.00°
Element x y z (fractional)
Ca 0.0000 0.0000 0.0000
Ca 0.0000 0.5000 0.5000
Fe 0.5000 0.0000 0.7816
Fe 0.5000 0.5000 0.2816
Se 0.0000 0.0000 0.6861
Se 0.0000 0.5000 0.1861
Se 0.5000 0.0000 0.4152
Se 0.5000 0.5000 0.9152

## Properties
E above lowest polymorph = 0 meV/atom
total DFT energy (no corrections) = -144.823 eV for the cell shown
formation energy (no corrections) = -1.115 eV per atom

=====

VASP calculation (meta-GGA SCAN) on a crystal of CaFeSe2 relaxed with PBEsol.

a = 3.7783 Å, b = 3.7783 Å, c = 17.7134 Å
α = 90.00°, β = 90.00°, γ = 120.00°
Element x y z (fractional)
Ca 0.0000 0.0000 0.0000
Ca 0.3333 0.6667 0.6667
Ca 0.6667 0.3333 0.3333
Fe 0.0000 0.0000 0.5000
Fe 0.3333 0.6667 0.1667
Fe 0.6667 0.3333 0.8333
Se 0.0000 0.0000 0.2290
Se 0.0000 0.0000 0.7710
Se 0.3333 0.6667 0.4377
Se 0.3333 0.6667 0.8957
Se 0.6667 0.3333 0.1043
Se 0.6667 0.3333 0.5623

## Properties
E above lowest polymorph = 147 meV/atom
total DFT energy (no corrections) = -215.475 eV for the cell shown
formation energy (no corrections) = -0.969 eV per atom

=====

VASP calculation (meta-GGA SCAN) on a crystal of CaFeSi2 relaxed with PBEsol.

a = 3.0501 Å, b = 3.0501 Å, c = 6.6735 Å
α = 90.00°, β = 90.00°, γ = 90.00°
Element x y z (fractional)
Ca 0.0000 0.0000 0.0000
Fe 0.5000 0.5000 0.3306
Si 0.0000 0.0000 0.4569
Si 0.5000 0.5000 0.6792

## Properties
total DFT energy (no corrections) = -47.740 eV for the cell shown
formation energy (no corrections) = 0.021 eV per atom

=====

VASP calculation (meta-GGA SCAN) on a crystal of Ca2FeSi relaxed with PBEsol.

a = 3.2217 Å, b = 3.2217 Å, c = 8.2185 Å
α = 90.00°, β = 90.00°, γ = 90.00°
Element x y z (fractional)
Ca 0.0000 0.0000 0.0000
Ca 0.5000 0.5000 0.3992
Fe 0.0000 0.0000 0.6560
Si 0.5000 0.5000 0.7485

## Properties
total DFT energy (no corrections) = -47.391 eV for the cell shown
formation energy (no corrections) = 0.020 eV per atom

=====

VASP calculation (meta-GGA SCAN) on a crystal of CaFeSi2 relaxed with PBEsol.

a = 2.8873 Å, b = 3.6341 Å, c = 6.3181 Å
α = 90.00°, β = 90.27°, γ = 90.00°
Element x y z (fractional)
Ca 0.0000 0.0000 0.0000
Fe 0.9937 0.5000 0.4093
Si 0.4953 0.0000 0.4304
Si 0.4968 0.5000 0.7004

## Properties
total DFT energy (no corrections) = -47.865 eV for the cell shown
formation energy (no corrections) = -0.010 eV per atom

=====

VASP calculation (meta-GGA SCAN) on a crystal of CaFe2Si relaxed with PBEsol.

a = 4.1100 Å, b = 4.1100 Å, c = 3.1827 Å
α = 90.00°, β = 90.00°, γ = 90.00°
Element x y z (fractional)
Ca 0.0000 0.0000 0.0000
Fe 0.0000 0.5000 0.5000
Fe 0.5000 0.0000 0.5000
Si 0.5000 0.5000 0.0000

## Properties
total DFT energy (no corrections) = -53.818 eV for the cell shown
formation energy (no corrections) = 0.530 eV per atom

=====

VASP calculation (meta-GGA SCAN) on a crystal of CaFe2Si relaxed with PBEsol.

a = 2.9912 Å, b = 2.9912 Å, c = 6.7728 Å
α = 90.00°, β = 90.00°, γ = 90.00°
Element x y z (fractional)
Ca 0.0000 0.0000 0.0000
Fe 0.0000 0.0000 0.4989
Fe 0.5000 0.5000 0.3217
Si 0.5000 0.5000 0.6787

## Properties
total DFT energy (no corrections) = -55.858 eV for the cell shown
formation energy (no corrections) = 0.020 eV per atom

=====

VASP calculation (meta-GGA SCAN) on a crystal of CaTlFe2Sn relaxed with PBEsol.

a = 4.8376 Å, b = 4.8376 Å, c = 5.6397 Å
α = 90.00°, β = 90.00°, γ = 90.00°
Element x y z (fractional)
Ca 0.0000 0.0000 0.0000
Tl 0.5000 0.5000 0.0000
Fe 0.0000 0.5000 0.5000
Fe 0.5000 0.0000 0.5000
Sn 0.0000 0.0000 0.5000

## Properties
total DFT energy (no corrections) = -150.632 eV for the cell shown
DFT formation energy = 16.465 kcal/mol of atoms

=====

VASP calculation (meta-GGA SCAN) on a crystal of SrCa3Fe relaxed with PBEsol.

a = 6.0597 Å, b = 6.0597 Å, c = 6.0597 Å
α = 90.00°, β = 90.00°, γ = 90.00°
Element x y z (fractional)
Sr 0.0000 0.0000 0.0000
Ca 0.0000 0.0000 0.5000
Ca 0.0000 0.5000 0.0000
Ca 0.5000 0.0000 0.0000
Fe 0.5000 0.5000 0.5000

## Properties
total DFT energy (no corrections) = -61.485 eV for the cell shown
DFT formation energy = 36.484 kcal/mol of atoms

=====

VASP calculation (meta-GGA SCAN) on a crystal of CaTaFe2 relaxed with PBEsol.

a = 8.3188 Å, b = 3.0847 Å, c = 5.9683 Å
α = 90.00°, β = 101.37°, γ = 90.00°
Element x y z (fractional)
Ca 0.0000 0.0000 0.0000
Ca 0.5000 0.5000 0.0000
Ta 0.0000 0.5000 0.5000
Ta 0.5000 0.0000 0.5000
Fe 0.2335 0.0000 0.6429
Fe 0.2665 0.5000 0.3571
Fe 0.7335 0.5000 0.6429
Fe 0.7665 0.0000 0.3571

## Properties
total DFT energy (no corrections) = -220.982 eV for the cell shown
DFT formation energy = 11.616 kcal/mol of atoms

=====

VASP calculation (meta-GGA SCAN) on a crystal of Ca3TaFe relaxed with PBEsol.

a = 5.4577 Å, b = 5.4577 Å, c = 5.4577 Å
α = 90.00°, β = 90.00°, γ = 90.00°
Element x y z (fractional)
Ca 0.0000 0.0000 0.5000
Ca 0.0000 0.5000 0.0000
Ca 0.5000 0.0000 0.0000
Ta 0.0000 0.0000 0.0000
Fe 0.5000 0.5000 0.5000

## Properties
total DFT energy (no corrections) = -106.007 eV for the cell shown
DFT formation energy = 35.495 kcal/mol of atoms

=====

VASP calculation (meta-GGA SCAN) on a crystal of Ca2TaFe relaxed with PBEsol.

a = 3.1163 Å, b = 3.7683 Å, c = 16.9328 Å
α = 90.00°, β = 90.00°, γ = 90.00°
Element x y z (fractional)
Ca 0.0000 0.0000 0.1532
Ca 0.0000 0.0000 0.8468
Ca 0.5000 0.5000 0.3468
Ca 0.5000 0.5000 0.6532
Ta 0.0000 0.5000 0.0000
Ta 0.5000 0.0000 0.5000
Fe 0.0000 0.5000 0.5000
Fe 0.5000 0.0000 0.0000

## Properties
total DFT energy (no corrections) = -203.988 eV for the cell shown
DFT formation energy = 11.793 kcal/mol of atoms

=====

VASP calculation (meta-GGA SCAN) on a crystal of CaTa3Fe relaxed with PBEsol.

a = 4.6577 Å, b = 4.6577 Å, c = 4.6577 Å
α = 90.00°, β = 90.00°, γ = 90.00°
Element x y z (fractional)
Ca 0.0000 0.0000 0.0000
Ta 0.0000 0.5000 0.5000
Ta 0.5000 0.0000 0.5000
Ta 0.5000 0.5000 0.0000
Fe 0.5000 0.5000 0.5000

## Properties
total DFT energy (no corrections) = -223.525 eV for the cell shown
DFT formation energy = 18.530 kcal/mol of atoms

=====

VASP calculation (meta-GGA SCAN) on a crystal of CaFeTe relaxed with PBEsol.

a = 3.5135 Å, b = 3.5135 Å, c = 10.5611 Å
α = 90.00°, β = 90.00°, γ = 90.00°
Element x y z (fractional)
Ca 0.0000 0.0000 0.0000
Ca 0.5000 0.5000 0.5000
Fe 0.0000 0.0000 0.6968
Fe 0.5000 0.5000 0.1968
Te 0.0000 0.0000 0.2928
Te 0.5000 0.5000 0.7928

## Properties
total DFT energy (no corrections) = -130.701 eV for the cell shown
formation energy (no corrections) = -0.102 eV per atom

=====

VASP calculation (meta-GGA SCAN) on a crystal of CaFeW3 relaxed with PBEsol.

a = 4.4818 Å, b = 4.4818 Å, c = 4.4818 Å
α = 90.00°, β = 90.00°, γ = 90.00°
Element x y z (fractional)
Ca 0.0000 0.0000 0.0000
Fe 0.5000 0.5000 0.5000
W 0.0000 0.0000 0.5000
W 0.0000 0.5000 0.0000
W 0.5000 0.0000 0.0000

## Properties
total DFT energy (no corrections) = -218.948 eV for the cell shown
DFT formation energy = 82.599 kcal/mol of atoms